Compound: Ba2ScRe
Source: Alexandria
Functional: PBE
Structure: relaxed

Summary:
formation energy: 0.802 eV per atom

Unit cell a=11.9361 b=11.9361 c=8.8068 alpha=47.34 beta=47.34 gamma=90.00
Element x y z (fractional)
Ba (0.3750, 0.1960, 0.7500)
Ba (0.9460, 0.6250, 0.2500)
Sc (0.2500, 0.7500, 0.5000)
Re (0.0000, 0.0000, 0.0000)
Sc (0.5000, 0.5000, 0.0000)
Ba (0.8750, 0.0540, 0.7500)
Re (0.7500, 0.2500, 0.5000)
Ba (0.8040, 0.1250, 0.2500)